1.
DFT (PBE) results for a geometry-optimized TbPm3Rh structure.

Calculated values
V: 31.4 Å³/atom
DFT formation energy: -314 meV/atom

a b c (Å): 7.422 7.422 7.422
angles (deg): 107.68 111.75 109.01
Fractional positions:
1 Tb 0.538 0.831 0.207
2 Tb 0.624 0.331 0.793
3 Pm 0.072 0.230 0.738
4 Pm 0.072 0.834 0.342
5 Pm 0.492 0.730 0.658
6 Pm 0.940 0.231 0.209
7 Pm 0.492 0.334 0.262
8 Pm 0.021 0.731 0.791
9 Rh 0.417 0.033 0.884
10 Rh 0.149 0.533 0.116

2.
DFT (PBE) results for a geometry-optimized Nd2FeAs4Rh3 structure.

Calculated values
V: 18.3 Å³/atom
DFT formation energy: -827 meV/atom

a b c (Å): 4.304 4.304 9.903
angles (deg): 90.00 90.00 90.00
Site moments in Bohr magnetons follow the coordinates.
Fractional positions:
1 Nd 0.500 0.000 0.247  0.00
2 Nd 0.000 0.500 0.753  0.00
3 Fe 0.500 0.500 0.500  2.00
4 As 0.500 0.500 0.000  0.00
5 As 0.000 0.000 0.000  -0.01
6 As 0.500 0.000 0.628  -0.03
7 As 0.000 0.500 0.372  -0.03
8 Rh 0.000 0.000 0.500  0.04
9 Rh 0.500 0.000 0.877  -0.04
10 Rh 0.000 0.500 0.123  -0.04

3.
DFT (PBE) results for a geometry-optimized BaCa2Pt structure.

Calculated values
V: 35.4 Å³/atom
DFT formation energy: -445 meV/atom

a b c (Å): 7.170 7.170 5.973
angles (deg): 65.35 65.35 30.79
Fractional positions:
1 Ca 0.927 0.927 0.073
2 Ca 0.573 0.573 0.427
3 Ba 0.750 0.750 0.750
4 Pt 0.250 0.250 0.250

4.
DFT (PBE) results for a geometry-optimized MnAg2Hg structure.

Calculated values
V: 20.2 Å³/atom
DFT formation energy: 418 meV/atom

a b c (Å): 7.615 7.615 6.066
angles (deg): 51.12 51.12 90.00
Site moments in Bohr magnetons follow the coordinates.
Fractional positions:
1 Mn 0.500 0.500 0.000  4.00
2 Mn 0.250 0.750 0.500  4.01
3 Hg 0.000 0.000 0.000  -0.01
4 Hg 0.750 0.250 0.500  -0.01
5 Ag 0.609 0.125 0.250  0.02
6 Ag 0.141 0.625 0.250  0.02
7 Ag 0.375 0.391 0.750  0.03
8 Ag 0.875 0.859 0.750  0.02

5.
DFT (PBE) results for a geometry-optimized LaHCl3 structure.

Calculated values
V: 34.8 Å³/atom
Final energy: -4.19 eV/atom

a b c (Å): 5.583 5.583 5.583
angles (deg): 90.00 90.00 90.00
Site moments in Bohr magnetons follow the coordinates.
Fractional positions:
1 H 0.500 0.500 0.500  0.38
2 Cl 0.000 0.500 0.000  0.01
3 Cl 0.000 0.000 0.500  0.01
4 Cl 0.500 0.000 0.000  0.01
5 La 0.000 0.000 0.000  0.00

6.
DFT (PBE) results for a geometry-optimized Na2GaP2 structure.

Calculated values
V: 20.9 Å³/atom
DFT formation energy: -215 meV/atom

a b c (Å): 6.744 6.744 4.589
angles (deg): 90.00 90.00 90.00
Fractional positions:
1 P 0.385 0.885 0.000
2 P 0.885 0.615 0.000
3 P 0.615 0.115 0.000
4 P 0.115 0.385 0.000
5 Ga 0.000 0.000 0.000
6 Ga 0.500 0.500 0.000
7 Na 0.180 0.680 0.500
8 Na 0.680 0.820 0.500
9 Na 0.820 0.320 0.500
10 Na 0.320 0.180 0.500

7.
DFT (PBE) results for a geometry-optimized CaTm2WN4 structure.

Calculated values
V: 14.8 Å³/atom
Final energy: -8.27 eV/atom

a b c (Å): 3.296 6.186 12.065
angles (deg): 90.00 90.00 105.45
Fractional positions:
1 Ca 0.075 0.151 0.750
2 Ca 0.925 0.849 0.250
3 Tm 0.373 0.745 0.538
4 Tm 0.627 0.255 0.038
5 Tm 0.627 0.255 0.462
6 Tm 0.373 0.745 0.962
7 W 0.817 0.634 0.750
8 W 0.183 0.366 0.250
9 N 0.262 0.523 0.115
10 N 0.738 0.477 0.615
11 N 0.738 0.477 0.885
12 N 0.262 0.523 0.385
13 N 0.000 0.000 0.500
14 N 0.000 0.000 0.000
15 N 0.430 0.859 0.750
16 N 0.570 0.141 0.250

8.
DFT (PBE) results for a geometry-optimized Cs3RbPb2I9 structure.

Calculated values
V: 56.7 Å³/atom
Final energy: -2.69 eV/atom

a b c (Å): 8.788 8.788 12.717
angles (deg): 90.00 90.00 120.00
Fractional positions:
1 Cs 0.333 0.667 0.758
2 Cs 0.000 0.000 0.000
3 Cs 0.667 0.333 0.242
4 Rb 0.000 0.000 0.500
5 Pb 0.333 0.667 0.162
6 Pb 0.667 0.333 0.838
7 I 0.841 0.159 0.716
8 I 0.841 0.681 0.716
9 I 0.319 0.159 0.716
10 I 0.681 0.841 0.284
11 I 0.159 0.319 0.284
12 I 0.159 0.841 0.284
13 I 0.500 0.000 0.000
14 I 0.000 0.500 0.000
15 I 0.500 0.500 0.000

9.
DFT (PBE) results for a geometry-optimized ZnPRhSe structure.

Calculated values
V: 17.8 Å³/atom
Final energy: -4.67 eV/atom

a b c (Å): 3.636 3.865 5.895
angles (deg): 95.30 95.14 119.25
Fractional positions:
1 Zn 0.223 0.184 0.784
2 P 0.902 0.695 0.048
3 Rh 0.279 0.414 0.224
4 Se 0.640 0.094 0.484

10.
DFT (PBE) results for a geometry-optimized SmPuBi4Rh2 structure.

Calculated values
V: 28.2 Å³/atom
DFT formation energy: -242 meV/atom

a b c (Å): 4.793 4.793 9.804
angles (deg): 90.00 90.00 90.00
Site moments in Bohr magnetons follow the coordinates.
Fractional positions:
1 Sm 0.000 0.000 0.500  -0.04
2 Pu 0.000 0.000 0.000  5.57
3 Bi 0.000 0.500 0.234  0.02
4 Bi 0.500 0.000 0.766  0.02
5 Bi 0.500 0.000 0.234  0.02
6 Bi 0.000 0.500 0.766  0.02
7 Rh 0.500 0.500 0.369  0.07
8 Rh 0.500 0.500 0.631  0.07

11.
DFT (PBE) results for a geometry-optimized Cr2ReSe structure.

Calculated values
V: 13.3 Å³/atom
Final energy: -8.42 eV/atom

a b c (Å): 4.929 4.929 4.929
angles (deg): 145.21 127.79 64.28
Fractional positions:
1 Cr 0.019 0.019 0.000
2 Cr 0.481 0.481 0.000
3 Re 0.750 0.250 0.500
4 Se 0.250 0.750 0.500

12.
DFT (PBE) results for a geometry-optimized RbB3P structure.

Calculated values
V: 20.5 Å³/atom
DFT formation energy: 22 meV/atom

a b c (Å): 6.357 4.513 14.281
angles (deg): 90.00 90.00 90.00
Fractional positions:
1 P 0.000 0.000 0.093
2 P 0.500 0.500 0.593
3 P 0.000 0.500 0.794
4 P 0.500 0.000 0.294
5 B 0.000 0.313 0.998
6 B 0.000 0.687 0.998
7 B 0.500 0.813 0.498
8 B 0.500 0.187 0.498
9 B 0.000 0.185 0.882
10 B 0.000 0.815 0.882
11 B 0.500 0.685 0.382
12 B 0.500 0.315 0.382
13 B 0.158 0.000 0.969
14 B 0.842 0.000 0.969
15 B 0.658 0.500 0.469
16 B 0.342 0.500 0.469
17 Rb 0.000 0.000 0.623
18 Rb 0.500 0.500 0.123
19 Rb 0.000 0.000 0.358
20 Rb 0.500 0.500 0.858

13.
DFT (PBE) results for a geometry-optimized Tb5SmTm2Th structure.

Calculated values
V: 33.1 Å³/atom
DFT formation energy: 160 meV/atom

a b c (Å): 5.710 11.112 9.712
angles (deg): 90.00 90.00 104.89
Fractional positions:
1 Tb 0.400 0.799 0.042
2 Tb 0.726 0.453 0.820
3 Tb 0.468 0.935 0.742
4 Tb 0.304 0.607 0.714
5 Tb 0.986 0.972 0.519
6 Tb 0.600 0.201 0.542
7 Tb 0.274 0.547 0.320
8 Tb 0.532 0.065 0.242
9 Tb 0.696 0.393 0.214
10 Tb 0.014 0.028 0.019
11 Sm 0.811 0.622 0.519
12 Sm 0.189 0.378 0.019
13 Tm 0.883 0.766 0.834
14 Tm 0.127 0.254 0.714
15 Tm 0.117 0.234 0.334
16 Tm 0.873 0.746 0.214
17 Th 0.593 0.186 0.921
18 Th 0.407 0.814 0.421

14.
DFT (PBE) results for a geometry-optimized BaSrGe2 structure.

Calculated values
V: 31.4 Å³/atom
DFT formation energy: -586 meV/atom

a b c (Å): 4.276 6.373 9.219
angles (deg): 90.00 90.00 90.00
Fractional positions:
1 Ba 0.000 0.140 0.681
2 Ba 0.000 0.860 0.181
3 Sr 0.500 0.362 0.316
4 Sr 0.500 0.638 0.816
5 Ge 0.000 0.626 0.532
6 Ge 0.000 0.374 0.032
7 Ge 0.500 0.856 0.471
8 Ge 0.500 0.144 0.971

15.
DFT (PBE) results for a geometry-optimized Rb3CrRh structure.

Calculated values
V: 48.7 Å³/atom
DFT formation energy: 1039 meV/atom

a b c (Å): 6.244 6.244 6.244
angles (deg): 90.00 90.00 90.00
Site moments in Bohr magnetons follow the coordinates.
Fractional positions:
1 Cr 0.500 0.500 0.500  -4.31
2 Rh 0.000 0.000 0.000  -0.52
3 Rb 0.000 0.500 0.000  0.00
4 Rb 0.000 0.000 0.500  0.00
5 Rb 0.500 0.000 0.000  -0.02

16.
DFT (PBE) results for a geometry-optimized LuAgPtAu structure.

Calculated values
V: 19.1 Å³/atom
DFT formation energy: -684 meV/atom

a b c (Å): 4.759 4.759 4.759
angles (deg): 60.00 60.00 60.00
Fractional positions:
1 Lu 0.000 0.000 0.000
2 Au 0.250 0.250 0.250
3 Ag 0.500 0.500 0.500
4 Pt 0.750 0.750 0.750

17.
DFT (PBE) results for a geometry-optimized Cu2I3Br4 structure.

Calculated values
V: 51.5 Å³/atom
Final energy: -2.31 eV/atom

a b c (Å): 10.202 10.202 8.966
angles (deg): 94.15 94.15 87.70
Fractional positions:
1 Cu 0.629 0.896 0.442
2 Cu 0.104 0.371 0.058
3 Cu 0.371 0.104 0.558
4 Cu 0.896 0.629 0.942
5 I 0.920 0.883 0.949
6 I 0.117 0.080 0.551
7 I 0.080 0.117 0.051
8 I 0.883 0.920 0.449
9 I 0.473 0.527 0.250
10 I 0.527 0.473 0.750
11 Br 0.608 0.115 0.556
12 Br 0.885 0.392 0.944
13 Br 0.392 0.885 0.444
14 Br 0.115 0.608 0.056
15 Br 0.689 0.682 0.825
16 Br 0.318 0.311 0.675
17 Br 0.311 0.318 0.175
18 Br 0.682 0.689 0.325

18.
DFT (PBE) results for a geometry-optimized MgAlPb3 structure.

Calculated values
V: 32.8 Å³/atom
DFT formation energy: 410 meV/atom

a b c (Å): 5.473 5.473 5.473
angles (deg): 90.00 90.00 90.00
Fractional positions:
1 Pb 0.000 0.500 0.000
2 Pb 0.000 0.000 0.500
3 Pb 0.500 0.000 0.000
4 Mg 0.500 0.500 0.500
5 Al 0.000 0.000 0.000

19.
DFT (PBE) results for a geometry-optimized Rb2Tl4InHg3 structure.

Calculated values
V: 35.4 Å³/atom
DFT formation energy: -106 meV/atom

a b c (Å): 5.223 5.223 12.966
angles (deg): 90.00 90.00 90.00
Fractional positions:
1 Rb 0.500 0.000 0.253
2 Rb 0.000 0.500 0.747
3 Tl 0.500 0.500 0.000
4 Tl 0.000 0.000 0.000
5 Tl 0.500 0.000 0.629
6 Tl 0.000 0.500 0.371
7 In 0.500 0.500 0.500
8 Hg 0.000 0.000 0.500
9 Hg 0.500 0.000 0.864
10 Hg 0.000 0.500 0.136

20.
DFT (PBE) results for a geometry-optimized KNaGa structure.

Calculated values
V: 34.8 Å³/atom
DFT formation energy: 107 meV/atom

a b c (Å): 3.968 3.968 7.199
angles (deg): 106.00 106.00 90.00
Fractional positions:
1 Na 0.295 0.295 0.590
2 K 0.016 0.016 0.033
3 Ga 0.688 0.688 0.377

21.
DFT (PBE) results for a geometry-optimized ZrMoC2 structure.

Calculated values
V: 11.2 Å³/atom
DFT formation energy: 509 meV/atom

a b c (Å): 3.992 3.992 3.992
angles (deg): 60.00 60.00 60.00
Fractional positions:
1 Mo 0.500 0.500 0.500
2 C 0.250 0.250 0.250
3 C 0.750 0.750 0.750
4 Zr 0.000 0.000 0.000

22.
DFT (PBE) results for a geometry-optimized Rb4TlGe3Br12 structure.

Calculated values
V: 35.7 Å³/atom
Final energy: -3.06 eV/atom

a b c (Å): 9.756 9.756 9.756
angles (deg): 109.47 109.47 109.47
Fractional positions:
1 Rb 0.500 0.500 0.500
2 Rb 0.000 0.000 0.500
3 Rb 0.500 0.000 0.000
4 Rb 0.000 0.500 0.000
5 Tl 0.000 0.000 0.000
6 Ge 0.500 0.000 0.500
7 Ge 0.500 0.500 0.000
8 Ge 0.000 0.500 0.500
9 Br 0.250 0.500 0.750
10 Br 0.738 0.000 0.738
11 Br 0.262 0.000 0.262
12 Br 0.750 0.500 0.250
13 Br 0.738 0.738 0.000
14 Br 0.262 0.262 0.000
15 Br 0.750 0.250 0.500
16 Br 0.250 0.750 0.500
17 Br 0.500 0.250 0.750
18 Br 0.000 0.738 0.738
19 Br 0.500 0.750 0.250
20 Br 0.000 0.262 0.262

23.
DFT (PBE) results for a geometry-optimized SrTcIr structure.

Calculated values
V: 19.1 Å³/atom
DFT formation energy: 846 meV/atom

a b c (Å): 2.980 2.980 7.453
angles (deg): 90.00 90.00 120.00
Fractional positions:
1 Ir 0.000 0.000 0.968
2 Sr 0.667 0.333 0.329
3 Tc 0.333 0.667 0.702